# TlVF5

A relaxed structure of TlVF5 (GGA+U, Alexandria via LeMat-Bulk).

a b c (Å): 6.8064 6.8064 7.7468
angles (deg): 122.60 122.60 70.54
Last column: nearest neighbours and their distance in Å.
Atoms (fractional coordinates):
Tl  0.0159  0.9841  0.7500  6 F 2.75-2.97
Tl  0.9841  0.0159  0.2500  6 F 2.75-2.97
V  0.5000  0.5000  0.0000  6 F 1.83-1.97
V  0.5000  0.5000  0.5000  6 F 1.83-1.97
F  0.2649  0.7355  0.0382  1 V 1.87
F  0.2645  0.7351  0.4618  1 V 1.87
F  0.2767  0.2863  0.2907  1 V 1.83
F  0.2863  0.2767  0.7907  1 V 1.83
F  0.4516  0.5484  0.7500  2 V 1.97
F  0.5484  0.4516  0.2500  2 V 1.97
F  0.7137  0.7233  0.2093  1 V 1.83
F  0.7233  0.7137  0.7093  1 V 1.83
F  0.7355  0.2649  0.5382  1 V 1.87
F  0.7351  0.2645  0.9618  1 V 1.87

Results
The total energy comes out at -5.246 eV/atom. The crystal system is monoclinic.